Computed, not measured: a geometry-optimized Sm2NbS6 structure at the GGA-PBE level of DFT.

Calculated values
- energy (eV/atom) = -6.16
- energy relative to the elements, uncorrected (meV per atom) = -1240
- size of the total moment (μB/atom) = 0.000

Cell lengths 6.303, 6.303, 11.942 Å; angles 90.00, 90.00, 90.00 degrees
Space group P4_2/mnm (No. 136)
One atom of each set of equivalent atoms:
Sm  0.000  0.000  0.172
Nb  0.000  0.000  0.500
S  0.192  0.192  0.354
S  0.218  0.218  0.000